No. 1
Entry from Alexandria via LeMat-Bulk: a geometry-optimized Sm2Dy5Ho5 structure (PBE).

Results
- DOS(E_F): 1.40 states/eV per atom
- Volume: 31.56 Å³ per atom
- Formation energy: 19 meV per atom

Unit cell a=15.0512 b=5.0135 c=11.2212 alpha=90.00 beta=116.54 gamma=90.00
With the nearest neighbours (Å) after each atom.
Space group C2/m (No. 12)
Symmetry-distinct sites (fractional):
Sm  0.0831  0.0000  0.2493  7 Dy 3.54-3.56, 5 Ho 3.55
Dy  0.0000  0.5000  0.0000  4 Sm 3.54, 2 Dy 3.55, 6 Ho 3.55-3.56
Dy  0.0842  0.5000  0.7504  7 Ho 3.53-3.55, 3 Dy 3.54-3.56, 2 Sm 3.55
Dy  0.1665  0.5000  0.5001  4 Dy 3.54-3.56, 5 Ho 3.54-3.56, 3 Sm 3.55-3.56
Ho  0.0000  0.0000  0.5000  2 Ho 3.54, 8 Dy 3.54-3.55, 2 Sm 3.55
Ho  0.1674  0.0000  0.0001  5 Dy 3.53-3.55, 5 Ho 3.53-3.55, 2 Sm 3.55
Ho  0.2492  0.0000  0.7497  6 Dy 3.53-3.56, 4 Ho 3.54-3.55, 2 Sm 3.55

***

No. 2
Entry from Alexandria via LeMat-Bulk: a geometry-optimized SmDy6Ho12 structure (PBE).

Results
- DOS(E_F): 1.28 states/eV per atom
- Volume: 33.98 Å³ per atom
- Formation energy: 446 meV per atom

Unit cell a=15.0777 b=15.0777 c=9.8392 alpha=90.00 beta=90.00 gamma=120.00
With the nearest neighbours (Å) after each atom.
Space group R-3m (No. 166, hexagonal axes)
Symmetry-distinct sites (fractional):
Sm  0.0000  0.0000  0.0000  6 Ho 3.46
Dy  0.0488  0.5244  0.2057  3 Ho 3.02-3.27
Ho  0.0000  0.3904  0.5000  4 Dy 3.27-3.39, 5 Ho 3.31-3.65
Ho  0.0712  0.1424  0.2962  1 Dy 3.02, 2 Ho 3.22